Record 1
The following is a PBE calculation of RbCa2Y after structural relaxation, from the Alexandria database.

Calculated values
The polymorph energy (0 for the lowest one) comes out at 388 meV per atom. As for the formation energy from the elements: 626 meV/atom. As for the total energy: -2.233 eV per atom.

Lattice parameters (Å, degrees): 9.7082 9.7082 7.5098 90.00 90.00 90.00
Last column: nearest neighbours and their distance in Å.
Space group I-42d (No. 122)
Symmetry-distinct sites (fractional):
Rb  0.0000  0.0000  0.0000 (multiplicity 4)  4 Ca 3.57, 2 Y 3.75
Ca  0.2482  0.2500  0.6250 (multiplicity 8)  2 Y 3.55, 2 Rb 3.57, 2 Ca 3.76
Y  0.0000  0.0000  0.5000 (multiplicity 4)  4 Ca 3.55, 2 Rb 3.75

---

Record 2
The following is a PBE calculation of Rb3CaY after structural relaxation, from the Alexandria database.

Calculated values
As for the formation energy from the elements: 910 meV/atom. As for the total energy: -1.363 eV per atom.

Lattice parameters (Å, degrees): 7.3290 7.3290 7.3290 90.00 90.00 90.00
Last column: nearest neighbours and their distance in Å.
Space group Pm-3m (No. 221)
Symmetry-distinct sites (fractional):
Rb  0.0000  0.0000  0.5000 (multiplicity 3)  2 Y 3.66
Ca  0.5000  0.5000  0.5000 (multiplicity 1)  12 Rb 5.18
Y  0.0000  0.0000  0.0000 (multiplicity 1)  6 Rb 3.66

---

Record 3
The following is a PBE calculation of RbCa2Y after structural relaxation, from the Alexandria database.

Calculated values
The polymorph energy (0 for the lowest one) comes out at 182 meV per atom. As for the formation energy from the elements: 420 meV/atom. As for the total energy: -2.439 eV per atom.

Lattice parameters (Å, degrees): 8.9406 8.9406 8.9406 90.00 90.00 90.00
Last column: nearest neighbours and their distance in Å.
Space group Fm-3m (No. 225)
Symmetry-distinct sites (fractional):
Rb  0.0000  0.0000  0.0000 (multiplicity 4)  8 Ca 3.87
Ca  0.2500  0.2500  0.2500 (multiplicity 8)  4 Y 3.87, 4 Rb 3.87
Y  0.0000  0.0000  0.5000 (multiplicity 4)  8 Ca 3.87